Entry 1:
Tm2ScNiSn3Ir2, relaxed, DFT PBE; volume = 177.6 Å³/f.u.; total DFT energy (no corrections) = -6.40 eV per atom; space-group type = Amm2, No. 38
1.0
-0.688 2.518 2.514
-6.191 -3.737 2.049
6.563 -1.529 3.327
Ni Tm Ir Sn Sc
1 2 2 3 1
Direct
0.000 0.999 0.999
0.000 0.000 0.405
0.000 0.405 0.000
0.500 0.665 0.338
0.500 0.338 0.665
0.500 0.741 0.996
0.500 0.262 0.262
0.500 0.996 0.741
0.000 0.595 0.595

***

Entry 2:
TmSc2NiSn3Ir2, relaxed, DFT PBE; volume = 171.3 Å³/f.u.; total DFT energy (no corrections) = -6.60 eV per atom; space-group type = Amm2, No. 38
1.0
-2.865 1.086 1.581
-2.699 -7.090 -0.020
4.165 2.502 5.827
Tm Sn Ir Sc Ni
1 3 2 2 1
Direct
0.000 0.402 0.402
0.500 0.262 0.996
0.500 0.741 0.741
0.500 0.996 0.262
0.500 0.332 0.671
0.500 0.671 0.332
0.000 0.999 0.599
0.000 0.599 0.999
0.000 0.999 0.999

***

Entry 3:
ScZnNiIr, relaxed, DFT PBE; volume = 59.8 Å³/f.u.; formation energy = -1.18 eV per formula unit; total DFT energy (no corrections) = -5.80 eV per atom; space-group type = F-43m, No. 216
1.0
3.710 -1.828 1.469
1.601 1.134 3.927
-0.130 -2.856 3.331
Ir Zn Sc Ni
1 1 1 1
Direct
0.500 0.500 0.500
0.000 0.000 0.000
0.250 0.250 0.250
0.750 0.750 0.750

***

Entry 4:
TlNiIrSe3, relaxed, DFT PBE; volume = 132.4 Å³/f.u.; total DFT energy (no corrections) = -4.74 eV per atom; space-group type = Cmcm, No. 63
1.0
-1.032 2.143 7.145
-0.464 -5.136 -5.487
8.900 -3.203 2.246
Tl Se Ir Ni
2 6 2 2
Direct
0.242 0.758 0.250
0.758 0.242 0.750
0.934 0.066 0.250
0.386 0.614 0.545
0.066 0.934 0.750
0.614 0.386 0.045
0.614 0.386 0.455
0.386 0.614 0.955
0.000 0.000 0.000
0.000 0.000 0.500
0.531 0.469 0.250
0.469 0.531 0.750